No. 1
Material: CaReSb2
Method: DFT, PBE
State: optimized geometry

Results
Space-group type: P2/m, No. 10
Formation energy from raw total energies: 0.18 eV/atom
Relative energy among the computed polymorphs: 203 meV/atom
Density of states at the Fermi level: 3.4 states/eV per cell
M_tot: 0.000 μB per cell

a b c (Å): 4.5106 3.5248 5.9638
angles (deg): 85.27 90.00 90.00
Atoms (fractional coordinates):
Sb: 0.0000 0.6649 0.5111
Sb: 0.0000 0.8351 0.9889
Re: 0.5000 0.7500 0.7500
Ca: 0.5000 0.2500 0.2500

No. 2
Material: CsCuBi2Cl8
Method: DFT, PBE
State: optimized geometry

Results
Space-group type: P-1, No. 2
Formation energy from raw total energies: -1.06 eV/atom
M_tot: 0.150 μB per cell

a b c (Å): 6.8385 8.9359 8.4317
angles (deg): 102.53 89.26 67.63
Atoms (fractional coordinates):
Bi: 0.5048 0.4728 0.2399
Bi: 0.4952 0.5272 0.7601
Cl: 0.1027 0.6026 0.2723
Cl: 0.5321 0.6942 0.5070
Cl: 0.9535 0.2124 0.1880
Cl: 0.5252 0.6974 0.0818
Cl: 0.8973 0.3974 0.7277
Cl: 0.4748 0.3026 0.9182
Cl: 0.4679 0.3058 0.4930
Cl: 0.0465 0.7876 0.8120
Cu: 0.0000 0.0000 0.0000
Cs: 0.0000 0.0000 0.5000

What is the formula in the first record?
CaReSb2

Which of these has the lowest M_tot?
CaReSb2

What is the M_tot in the second record?
0.150 μB per cell

formation energy from raw total energies of number 2 (CsCuBi2Cl8)?
-1.06 eV/atom